# 1
DFT (PBE) results for an optimized crystal structure of SrZrNO.

Cell and atoms, written as POSCAR:
```
SrZrNO
1.0
3.9562 0.0000 0.0000
0.0000 6.6291 0.0000
0.0000 0.0000 5.6144
Sr Zr N O
2 2 2 2
direct
0.0000 0.1668 0.0000
0.0000 0.8332 0.5000
0.5000 0.3317 0.5173
0.5000 0.6683 0.0173
0.5000 0.3843 0.8744
0.5000 0.6157 0.3744
0.0000 0.2191 0.4787
0.0000 0.7809 0.9787
```

* crystal system: orthorhombic
* E above lowest polymorph: 0.385 eV per formula unit

# 2
DFT (PBE) results for an optimized crystal structure of NdO.

Cell and atoms, written as POSCAR:
```
NdO
1.0
3.3940 0.0000 0.0000
-1.6970 2.9393 0.0000
0.0000 0.0000 3.2209
Nd O
1 1
direct
0.0000 0.0000 0.0000
0.6667 0.3333 0.5000
```

* crystal system: hexagonal
* E above lowest polymorph: 0.512 eV per formula unit

# 3
DFT (PBE) results for an optimized crystal structure of MgZrNi2Sb2.

Cell and atoms, written as POSCAR:
```
MgZrNi2Sb2
1.0
-3.0609 3.0609 6.1231
3.0609 -3.0609 6.1231
3.0609 3.0609 -6.1231
Mg Zr Ni Sb
2 2 4 4
direct
0.0000 0.0000 0.0000
0.7500 0.2500 0.5000
0.2500 0.7500 0.5000
0.5000 0.5000 0.0000
0.1337 0.1250 0.5087
0.3750 0.8663 0.9913
0.6163 0.6250 0.4913
0.8750 0.3837 0.0087
0.2458 0.2458 0.0000
0.5042 0.0042 0.5000
0.7542 0.7542 0.0000
0.9958 0.4958 0.5000
```

* E_tot: -0.2034 hartree per atom
* crystal system: tetragonal

# 4
DFT (PBE) results for an optimized crystal structure of TbSmZn2Sn2.

Cell and atoms, written as POSCAR:
```
TbSmZn2Sn2
1.0
4.5294 0.0000 0.0000
-2.2647 3.9226 0.0000
0.0000 0.0000 16.0683
Tb Sm Zn Sn
2 2 4 4
direct
0.0000 0.0000 0.2500
0.0000 0.0000 0.7500
0.0000 0.0000 0.0000
0.0000 0.0000 0.5000
0.3333 0.6667 0.1609
0.3333 0.6667 0.3391
0.6667 0.3333 0.6609
0.6667 0.3333 0.8391
0.3333 0.6667 0.6162
0.3333 0.6667 0.8838
0.6667 0.3333 0.1162
0.6667 0.3333 0.3838
```

* crystal system: hexagonal
* E above lowest polymorph: 0.000 eV per formula unit

# 5
DFT (PBE) results for an optimized crystal structure of Mg2Zn.

Cell and atoms, written as POSCAR:
```
Mg2Zn
1.0
7.9616 0.0000 0.0000
0.0000 4.9573 0.0000
-2.2137 0.0000 11.8851
Mg Zn
16 8
direct
0.0403 0.2500 0.3162
0.0487 0.2500 0.0738
0.0672 0.2500 0.5687
0.0801 0.2500 0.8198
0.2731 0.7500 0.3475
0.2802 0.7500 0.1022
0.3904 0.2500 0.4864
0.3916 0.2500 0.9882
0.6084 0.7500 0.0118
0.6096 0.7500 0.5136
0.7198 0.2500 0.8978
0.7269 0.2500 0.6525
0.9199 0.7500 0.1802
0.9328 0.7500 0.4313
0.9513 0.7500 0.9262
0.9597 0.7500 0.6838
0.2890 0.7500 0.6010
0.2927 0.7500 0.8458
0.3898 0.2500 0.2379
0.4003 0.2500 0.7348
0.5997 0.7500 0.2652
0.6102 0.7500 0.7621
0.7073 0.2500 0.1542
0.7110 0.2500 0.3990
```

* E_tot: -0.0532 hartree per atom
* crystal system: monoclinic

# 6
DFT (PBE) results for an optimized crystal structure of Gd2YGa3AgIr2.

Cell and atoms, written as POSCAR:
```
Gd2YGa3AgIr2
1.0
3.9164 0.0000 0.0000
0.0000 6.3353 3.6579
0.0000 -6.3353 3.6579
Gd Y Ga Ag Ir
2 1 3 1 2
direct
0.0000 0.2053 0.7947
0.0000 0.7947 0.2053
0.0000 0.3850 0.3850
0.5000 0.0672 0.0672
0.5000 0.5236 0.7930
0.5000 0.7930 0.5236
0.0000 0.7945 0.7945
0.5000 0.1274 0.4615
0.5000 0.4615 0.1274
```

* E_tot: -0.2111 hartree per atom
* crystal system: orthorhombic

# 7
DFT (PBE) results for an optimized crystal structure of ThTaSb.

Cell and atoms, written as POSCAR:
```
ThTaSb
1.0
0.0000 3.4222 3.4222
3.4222 0.0000 3.4222
3.4222 3.4222 0.0000
Th Ta Sb
1 1 1
direct
0.0000 0.0000 0.0000
0.2500 0.2500 0.2500
0.5000 0.5000 0.5000
```

* E_tot: -0.2757 hartree per atom
* crystal system: cubic

# 8
DFT (PBE) results for an optimized crystal structure of TbCu3As2.

Cell and atoms, written as POSCAR:
```
TbCu3As2
1.0
4.1290 0.0000 0.0000
-2.0645 3.5758 0.0000
0.0000 0.0000 6.6908
Tb Cu As
1 3 2
direct
0.0000 0.0000 0.0000
0.0000 0.0000 0.5000
0.3333 0.6667 0.3520
0.6667 0.3333 0.6480
0.3333 0.6667 0.7482
0.6667 0.3333 0.2518
```

* E_tot: -0.1715 hartree per atom
* crystal system: trigonal